Record 1
Below is crystalline LiTl3Pd6 at its relaxed geometry, with properties calculated at the PBE level.

Cell: 4.7514 7.8249 10.2894 Å, 113.80 90.00 90.00°
Closest atoms and distances in Å follow each position.
Fractional positions:
Pd 0.2500 0.8743 0.2865  3 Li 2.78-2.83, 5 Pd 2.81-3.08, 4 Tl 2.81-3.08
Tl 0.2500 0.7800 0.9802  11 Pd 2.83-3.03
Pd 0.2500 0.6752 0.6745  1 Li 2.73, 4 Tl 2.78-2.91, 5 Pd 2.81-3.04
Tl 0.2500 0.3364 0.7738  7 Pd 2.74-2.93, 1 Li 2.89
Pd 0.2500 0.2513 0.4793  3 Li 2.78-2.90, 5 Pd 2.81-3.11, 4 Tl 2.83-2.89
Pd 0.7500 0.5375 0.9248  7 Tl 2.85-3.01, 5 Pd 2.96-3.08
Pd 0.7500 0.1257 0.7135  3 Li 2.78-2.83, 5 Pd 2.81-3.08, 4 Tl 2.81-3.08
Pd 0.2500 0.4625 0.0752  7 Tl 2.85-3.01, 5 Pd 2.96-3.08
Pd 0.2500 0.0541 0.8665  4 Tl 2.74-2.86, 1 Li 2.78, 7 Pd 2.82-3.05
Tl 0.7500 0.4525 0.6194  9 Pd 2.78-3.08, 1 Li 2.97
Li 0.2500 0.9499 0.5744  8 Pd 2.73-2.90, 2 Tl 2.89-2.97
Li 0.7500 0.0501 0.4256  8 Pd 2.73-2.90, 2 Tl 2.89-2.97
Pd 0.7500 0.3248 0.3255  1 Li 2.73, 4 Tl 2.78-2.91, 5 Pd 2.81-3.04
Pd 0.7500 0.7487 0.5207  3 Li 2.78-2.90, 5 Pd 2.81-3.11, 4 Tl 2.83-2.89
Pd 0.7500 0.9459 0.1335  4 Tl 2.74-2.86, 1 Li 2.78, 7 Pd 2.82-3.05
Tl 0.7500 0.6636 0.2262  7 Pd 2.74-2.93, 1 Li 2.89
Pd 0.2500 0.1640 0.1820  8 Pd 2.81-3.00, 4 Tl 2.87-3.03
Tl 0.7500 0.2200 0.0198  11 Pd 2.83-3.03
Pd 0.7500 0.8360 0.8180  8 Pd 2.81-3.00, 4 Tl 2.87-3.03
Tl 0.2500 0.5475 0.3806  9 Pd 2.78-3.08, 1 Li 2.97

Density of states at the Fermi level   8.77 states/eV/cell
Total magnetization   0.000 μB per atom
Formation energy   -2.15 eV/f.u.
Polymorph energy (0 for the lowest one)   0 meV per atom

---

Record 2
Below is crystalline Li3Tl2Pd8 at its relaxed geometry, with properties calculated at the PBE level.

Cell: 4.9731 9.1758 6.9376 Å, 131.40 72.75 90.00°
Closest atoms and distances in Å follow each position.
Fractional positions:
Pd 0.3215 0.4050 0.3186  2 Pd 2.68-2.87, 2 Tl 2.71-2.90, 2 Li 2.72-2.73
Pd 0.0226 0.8566 0.7133  3 Li 2.43-2.66, 1 Tl 2.68
Pd 0.9774 0.1434 0.2867  3 Li 2.43-2.66, 1 Tl 2.68
Li 0.5000 0.0000 0.0000  2 Pd 2.43
Pd 0.1992 0.5673 0.1346  5 Pd 2.68-2.84, 3 Tl 2.69-2.97, 2 Li 2.75
Pd 0.6785 0.5950 0.6814  2 Pd 2.68-2.87, 2 Tl 2.71-2.90, 2 Li 2.72-2.73
Li 0.0000 0.2433 0.0000  6 Pd 2.66-2.75
Tl 0.3950 0.2864 0.5728  9 Pd 2.68-3.00, 1 Li 2.82
Pd 0.8008 0.4327 0.8654  5 Pd 2.68-2.84, 3 Tl 2.69-2.97, 2 Li 2.75
Li 0.0000 0.7567 0.0000  6 Pd 2.66-2.75
Tl 0.6050 0.7136 0.4272  9 Pd 2.68-3.00, 1 Li 2.82
Pd 0.6785 0.0864 0.6814  2 Pd 2.68-2.87, 2 Tl 2.71-2.90, 2 Li 2.72-2.73
Pd 0.3215 0.9136 0.3186  2 Pd 2.68-2.87, 2 Tl 2.71-2.90, 2 Li 2.72-2.73

Density of states at the Fermi level   5.34 states/eV/cell
Total magnetization   0.000 μB per atom
Formation energy   -2.30 eV/f.u.

---

Record 3
Below is crystalline LiTl2Pd7 at its relaxed geometry, with properties calculated at the PBE level.

Cell: 2.9018 9.2613 9.2613 Å, 131.27 90.00 90.00°
Closest atoms and distances in Å follow each position.
Fractional positions:
Li 0.0000 0.0000 0.0000  8 Pd 2.51
Pd 0.5000 0.1109 0.2784  2 Li 2.51, 3 Pd 2.73-2.75, 1 Tl 2.76
Pd 0.0000 0.1905 0.8095  6 Pd 2.75-2.90, 2 Tl 2.75
Tl 0.5000 0.3291 0.6709  5 Pd 2.75-2.88, 2 Tl 2.90
Pd 0.5000 0.2784 0.1109  2 Li 2.51, 3 Pd 2.73-2.75, 1 Tl 2.76
Pd 0.5000 0.5000 0.5000  6 Pd 2.73-2.90, 2 Tl 2.88
Pd 0.5000 0.7216 0.8891  2 Li 2.51, 3 Pd 2.73-2.75, 1 Tl 2.76
Pd 0.5000 0.8891 0.7216  2 Li 2.51, 3 Pd 2.73-2.75, 1 Tl 2.76
Tl 0.5000 0.6709 0.3291  5 Pd 2.75-2.88, 2 Tl 2.90
Pd 0.0000 0.8095 0.1905  6 Pd 2.75-2.90, 2 Tl 2.75

Density of states at the Fermi level   9.69 states/eV/cell
Total magnetization   0.000 μB per atom
Formation energy   0.62 eV/f.u.

---

Q: total magnetization of number 3 (LiTl2Pd7)?
A: 0.000 μB per atom